Entry 1:
Here is a geometry-optimized CrFe2Rh structure from Alexandria via LeMat-Bulk. Energies are from PBE.

Lattice parameters (Å, degrees): 4.5232 4.5232 4.4431 79.29 79.29 34.30
Last column: nearest neighbours and their distance in Å.
Fractional positions:
1 Cr 0.2500 0.2500 0.2500  6 Fe 2.58-2.61, 4 Rh 2.59, 2 Cr 2.67
2 Fe 0.9981 0.9981 0.0062  6 Fe 2.55-2.67, 3 Cr 2.58-2.61, 3 Rh 2.62
3 Fe 0.5019 0.5019 0.4938  6 Fe 2.55-2.67, 3 Cr 2.58-2.61, 3 Rh 2.62
4 Rh 0.7500 0.7500 0.7500  4 Cr 2.59, 6 Fe 2.62, 2 Rh 2.67

Calculated values
For the total energy, the calculation gives -33.6 eV per cell. The value obtained for the formation energy is 0.0741 eV per atom.



Entry 2:
Here is a geometry-optimized CrFe2Rh8 structure from Alexandria via LeMat-Bulk. Energies are from PBE.

Lattice parameters (Å, degrees): 4.0232 6.3185 6.3185 103.85 90.01 90.01
Last column: nearest neighbours and their distance in Å.
Fractional positions:
1 Cr 0.5000 0.0000 0.0000  12 Rh 2.53-2.74
2 Fe 0.0000 0.6166 0.3834  1 Fe 2.32, 4 Rh 2.39-2.59
3 Fe 0.0000 0.3834 0.6166  1 Fe 2.32, 4 Rh 2.39-2.59
4 Rh 0.0000 0.9634 0.6991  2 Fe 2.59-2.82, 7 Rh 2.63-2.71, 2 Cr 2.74
5 Rh 0.0000 0.6991 0.9634  2 Fe 2.59-2.82, 7 Rh 2.63-2.71, 2 Cr 2.74
6 Rh 0.4999 0.6702 0.6702  1 Cr 2.57, 7 Rh 2.65-2.78, 4 Fe 2.67
7 Rh 0.5000 0.2541 0.7459  2 Fe 2.39, 1 Cr 2.53
8 Rh 0.5000 0.7459 0.2541  2 Fe 2.39, 1 Cr 2.53
9 Rh 0.5001 0.3298 0.3298  1 Cr 2.57, 7 Rh 2.65-2.78, 4 Fe 2.67
10 Rh 0.0000 0.3009 0.0366  2 Fe 2.59-2.82, 7 Rh 2.63-2.71, 2 Cr 2.74
11 Rh 0.0000 0.0366 0.3009  2 Fe 2.59-2.82, 7 Rh 2.63-2.71, 2 Cr 2.74

Calculated values
For the total energy, the calculation gives -83.8 eV per cell. The value obtained for the formation energy is 0.1393 eV per atom.



Entry 3:
Here is a geometry-optimized Cr2FeRh2 structure from Alexandria via LeMat-Bulk. Energies are from PBE.

Lattice parameters (Å, degrees): 4.0580 6.7263 6.7263 126.90 78.67 78.67
Last column: nearest neighbours and their distance in Å.
Fractional positions:
1 Cr 0.6222 0.5933 0.1292  1 Cr 2.03
2 Cr 0.8778 0.8708 0.4067  1 Cr 2.03
3 Cr 0.1222 0.1292 0.5933  1 Cr 2.03
4 Cr 0.3778 0.4067 0.8708  1 Cr 2.03
5 Fe 0.7500 0.0868 0.9132  4 Rh 2.47-2.59, 4 Cr 2.57-2.66
6 Fe 0.2500 0.9132 0.0868  4 Rh 2.47-2.59, 4 Cr 2.57-2.66
7 Rh 0.3999 0.7670 0.6133  2 Fe 2.47-2.59, 3 Cr 2.57-2.61, 3 Rh 2.75-2.76
8 Rh 0.6001 0.2330 0.3867  2 Fe 2.47-2.59, 3 Cr 2.57-2.61, 3 Rh 2.75-2.76
9 Rh 0.1001 0.3867 0.2330  2 Fe 2.47-2.59, 3 Cr 2.57-2.61, 3 Rh 2.75-2.76
10 Rh 0.8999 0.6133 0.7670  2 Fe 2.47-2.59, 3 Cr 2.57-2.61, 3 Rh 2.75-2.76

Calculated values
For the total energy, the calculation gives -82.9 eV per cell. The value obtained for the formation energy is 0.1917 eV per atom. The calculation puts the excess energy over the best structure of this formula in the dataset at 0 meV per atom.